[1]
The following is a SCAN calculation of a PBEsol-optimized structure of SrTaNi, from the Alexandria database.

Total energy   -34.686 eV/atom

a = 3.2762 Å, b = 3.2762 Å, c = 6.4548 Å
α = 104.70°, β = 104.70°, γ = 90.00°
Last column: nearest neighbours and their distance in Å.
Atoms (fractional coordinates):
Ni (0.0437, 0.0437, 0.0873)  4 Ta 2.47
Ta (0.6144, 0.6144, 0.2289)  4 Ni 2.47
Sr (0.3419, 0.3419, 0.6838)  4 Sr 3.28, 5 Ta 3.28-3.59, 5 Ni 3.36-3.59

[2]
The following is a SCAN calculation of a PBEsol-optimized structure of SrTa2Ni, from the Alexandria database.

Total energy   -42.399 eV/atom

a = 2.8592 Å, b = 4.9131 Å, c = 6.1553 Å
α = 113.52°, β = 103.43°, γ = 90.00°
Last column: nearest neighbours and their distance in Å.
Atoms (fractional coordinates):
Ta (0.7924, 0.7924, 0.5847)  2 Ni 2.68, 6 Ta 2.86-2.99
Ta (0.2076, 0.2076, 0.4153)  2 Ni 2.68, 6 Ta 2.86-2.99
Sr (0.0000, 0.5000, 0.0000)  4 Ni 2.84, 2 Sr 2.86
Ni (0.5000, 0.0000, 0.0000)  4 Ta 2.68, 4 Sr 2.84, 2 Ni 2.86

[3]
The following is a SCAN calculation of a PBEsol-optimized structure of SrTa2Ni, from the Alexandria database.

Total energy   -41.547 eV/atom

a = 3.0032 Å, b = 4.8582 Å, c = 4.8582 Å
α = 90.00°, β = 90.00°, γ = 90.00°
Last column: nearest neighbours and their distance in Å.
Atoms (fractional coordinates):
Ta (0.0000, 0.5000, 0.0000)  4 Ni 2.86, 4 Sr 2.86, 2 Ta 3.00
Ta (0.0000, 0.0000, 0.5000)  4 Ni 2.86, 4 Sr 2.86, 2 Ta 3.00
Sr (0.5000, 0.0000, 0.0000)  8 Ta 2.86, 2 Sr 3.00
Ni (0.5000, 0.5000, 0.5000)  8 Ta 2.86, 2 Ni 3.00

[4]
The following is a SCAN calculation of a PBEsol-optimized structure of SrTa2Ni, from the Alexandria database.

Total energy   -42.081 eV/atom

a = 2.9818 Å, b = 2.9818 Å, c = 10.0131 Å
α = 81.44°, β = 81.44°, γ = 60.00°
Last column: nearest neighbours and their distance in Å.
Atoms (fractional coordinates):
Ta (0.7666, 0.7666, 0.7002)  3 Ni 2.62
Ta (0.2334, 0.2334, 0.2998)  3 Ni 2.62
Ni (0.5000, 0.5000, 0.5000)  6 Ta 2.62
Sr (0.0000, 0.0000, 0.0000)  6 Sr 2.98

[5]
The following is a SCAN calculation of a PBEsol-optimized structure of Sr2TaNi, from the Alexandria database.

Total energy   -30.700 eV/atom

a = 3.1952 Å, b = 5.5317 Å, c = 5.5317 Å
α = 90.00°, β = 90.00°, γ = 90.00°
Last column: nearest neighbours and their distance in Å.
Atoms (fractional coordinates):
Ni (0.5000, 0.0000, 0.0000)  8 Sr 3.19, 2 Ni 3.20
Sr (0.0000, 0.5000, 0.0000)  4 Ta 3.19, 4 Ni 3.19, 2 Sr 3.20
Sr (0.0000, 0.0000, 0.5000)  4 Ta 3.19, 4 Ni 3.19, 2 Sr 3.20
Ta (0.5000, 0.5000, 0.5000)  8 Sr 3.19, 2 Ta 3.20

[6]
The following is a SCAN calculation of a PBEsol-optimized structure of SrTc2Ni, from the Alexandria database.

Total energy   -26.345 eV/atom

a = 3.1933 Å, b = 5.1511 Å, c = 5.3156 Å
α = 118.98°, β = 107.48°, γ = 90.00°
Last column: nearest neighbours and their distance in Å.
Atoms (fractional coordinates):
Tc (0.7475, 0.2475, 0.4949)  2 Tc 2.36, 2 Ni 2.44
Tc (0.0491, 0.0491, 0.0981)  2 Tc 2.36
Sr (0.2454, 0.7454, 0.4908)  4 Ni 2.97-3.18, 8 Tc 3.03-3.10, 2 Sr 3.19
Ni (0.4581, 0.4581, 0.9162)  2 Tc 2.44

[7]
The following is a SCAN calculation of a PBEsol-optimized structure of SrTc2Ni, from the Alexandria database.

Total energy   -26.764 eV/atom

a = 3.0832 Å, b = 3.0838 Å, c = 7.3567 Å
α = 90.00°, β = 90.01°, γ = 90.00°
Last column: nearest neighbours and their distance in Å.
Atoms (fractional coordinates):
Tc (0.0000, 0.0000, 0.0762)  4 Tc 2.52, 1 Ni 2.65
Tc (0.5001, 0.5000, 0.2484)  4 Tc 2.52, 4 Ni 2.58
Sr (0.4998, 0.5000, 0.7392)  4 Sr 3.08, 4 Ni 3.12, 4 Tc 3.30
Ni (0.0000, 0.0000, 0.4363)  5 Tc 2.58-2.65

[8]
The following is a SCAN calculation of a PBEsol-optimized structure of Sr2NiTe, from the Alexandria database.

Uncorrected formation energy   -2.38 eV/f.u.

a = 4.4967 Å, b = 4.4967 Å, c = 6.3713 Å
α = 90.00°, β = 90.00°, γ = 90.00°
Last column: nearest neighbours and their distance in Å.
Atoms (fractional coordinates):
Sr (0.0000, 0.0000, 0.8823)  2 Te 3.18-3.19, 4 Ni 3.18
Sr (0.5000, 0.5000, 0.3582)  2 Ni 3.07-3.30, 4 Te 3.18
Te (0.0000, 0.0000, 0.3837)  6 Sr 3.18-3.19
Ni (0.5000, 0.5000, 0.8758)  6 Sr 3.07-3.30